Below is Nd4Si5 at its PBEsol-relaxed geometry, with properties calculated at the SCAN level.

```
Nd4Si5
1.0
3.913 0.000 0.000
0.000 2.130 12.326
0.000 -2.130 12.326
Nd Si
4 5
Cartesian
0.000 0.000 0.000
0.000 0.000 6.684
1.957 0.000 3.449
1.957 0.000 21.396
0.000 0.000 9.827
0.000 0.000 16.761
1.957 0.000 11.267
1.957 0.000 13.603
1.957 0.000 18.234
```

Results
- final energy (eV per atom) = -25.6393

Below is Nd2Si3 at its PBEsol-relaxed geometry, with properties calculated at the SCAN level.

```
Nd2Si3
1.0
-1.962 2.061 7.016
1.962 -2.061 7.016
1.962 2.061 -7.016
Nd Si
2 3
Cartesian
0.000 0.000 0.000
0.000 2.061 3.557
1.962 0.000 2.280
1.962 0.000 4.618
0.000 0.000 5.969
```

Results
- final energy (eV per atom) = -24.0824

Below is NdZn2Si2 at its PBEsol-relaxed geometry, with properties calculated at the SCAN level.

```
NdZn2Si2
1.0
-2.027 2.027 5.341
2.027 -2.027 5.341
2.027 2.027 -5.341
Nd Zn Si
1 2 2
Cartesian
0.000 0.000 0.000
2.027 0.000 2.671
0.000 2.027 2.671
0.000 0.000 4.150
0.000 0.000 6.533
```

Results
- final energy (eV per atom) = -18.5258

Below is Nd3Sm at its PBEsol-relaxed geometry, with properties calculated at the SCAN level.

```
Nd3Sm
1.0
7.195 0.000 0.000
-3.597 6.231 0.000
0.000 0.000 5.845
Nd Sm
6 2
Cartesian
0.000 2.078 1.461
-1.798 5.192 1.461
1.799 1.039 4.383
1.798 5.192 1.461
5.396 1.039 4.383
3.597 4.153 4.383
0.000 4.154 4.383
3.597 2.077 1.461
```

Results
- final energy (eV per atom) = -43.7672
- energy relative to the lowest polymorph listed for this composition (eV/f.u.) = 0.078
- calculated formation energy (kJ/mol of atoms) = 2.9

Below is Nd3Sm at its PBEsol-relaxed geometry, with properties calculated at the SCAN level.

```
Nd3Sm
1.0
5.070 0.000 0.000
0.000 5.070 0.000
0.000 0.000 5.070
Nd Sm
3 1
Cartesian
0.000 0.000 2.535
0.000 2.535 0.000
2.535 0.000 0.000
2.535 2.535 2.535
```

Results
- final energy (eV per atom) = -43.7868
- energy relative to the lowest polymorph listed for this composition (eV/f.u.) = 0.000
- calculated formation energy (kJ/mol of atoms) = 1.0

Below is NdSmTl2 at its PBEsol-relaxed geometry, with properties calculated at the SCAN level.

```
NdSmTl2
1.0
0.000 3.811 3.811
3.811 0.000 3.811
3.811 3.811 0.000
Nd Sm Tl
1 1 2
Cartesian
0.000 0.000 0.000
3.811 3.811 3.811
1.906 1.906 1.906
5.717 5.717 5.717
```

Results
- final energy (eV per atom) = -58.7800
- calculated formation energy (kJ/mol of atoms) = -57.4

Below is NdSn2 at its PBEsol-relaxed geometry, with properties calculated at the SCAN level.

```
NdSn2
1.0
2.219 -7.927 0.000
2.219 7.927 0.000
0.000 0.000 4.531
Nd Sn
2 4
Cartesian
2.219 5.628 0.000
2.219 -5.628 0.000
0.000 0.000 2.266
2.219 2.926 2.266
2.219 0.000 0.000
2.219 -2.926 2.266
```

Results
- final energy (eV per atom) = -39.2056
- calculated formation energy (kJ/mol of atoms) = -70.5

Below is Nd2Sn3 at its PBEsol-relaxed geometry, with properties calculated at the SCAN level.

```
Nd2Sn3
1.0
6.355 0.000 0.000
-1.463 8.208 0.000
-1.278 -3.569 10.387
Nd Sn
8 12
Cartesian
-0.664 0.458 4.604
-0.730 -1.059 9.192
1.028 3.490 2.531
2.511 -0.020 1.696
1.104 4.659 8.691
2.586 1.150 7.856
4.345 5.698 1.194
4.279 4.181 5.783
-2.081 3.877 9.135
-0.591 1.824 7.504
-0.374 6.126 3.788
1.074 -1.442 6.651
0.044 1.892 10.376
1.097 3.554 5.721
2.517 1.086 4.666
3.570 2.748 0.011
2.541 6.082 3.736
3.989 -1.487 6.599
4.206 2.816 2.882
5.695 0.763 1.252
```

Results
- final energy (eV per atom) = -39.8021
- calculated formation energy (kJ/mol of atoms) = -78.8

- final energy of number 1 (Nd4Si5)?
  -25.6393 eV per atom

- Which of these has the highest final energy?
  NdZn2Si2

- Which formula does entry 5 have?
  Nd3Sm

- The lowest final energy belongs to which entry?
  NdSmTl2